# CrAsO2 | Alexandria via LeMat-Bulk | GGA+U | relaxed
data_CrAsO2
_symmetry_space_group_name_H-M 'P 1'
_symmetry_Int_Tables_number 1
_cell_length_a 5.934
_cell_length_b 5.934
_cell_length_c 5.934
_cell_angle_alpha 130.38
_cell_angle_beta 130.38
_cell_angle_gamma 72.80
loop_
_symmetry_equiv_pos_as_xyz
'x,y,z'
loop_
_atom_site_label
_atom_site_type_symbol
_atom_site_fract_x
_atom_site_fract_y
_atom_site_fract_z
Cr1 Cr 0.000 0.000 0.000
Cr2 Cr 0.750 0.250 0.500
As1 As 0.250 0.750 0.500
As2 As 0.500 0.500 0.000
O1 O 0.057 0.625 0.932
O2 O 0.375 0.307 0.432
O3 O 0.693 0.125 0.068
O4 O 0.875 0.943 0.568
# SG: I-42d
# raw total energy: -48.53 eV for the cell shown